A plane-wave DFT calculation with PBE-GGA was carried out for crystalline BaCd2W at its relaxed geometry.

Cell and atoms, written as CIF:
```
data_BaCd2W
_symmetry_space_group_name_H-M 'I m m m'
_symmetry_Int_Tables_number 71
_symmetry_space_group_name_Hall '-I 2 2'
_cell_length_a 3.117
_cell_length_b 5.604
_cell_length_c 11.803
_cell_angle_alpha 90.00
_cell_angle_beta 90.00
_cell_angle_gamma 90.00
loop_
_atom_site_label
_atom_site_type_symbol
_atom_site_fract_x
_atom_site_fract_y
_atom_site_fract_z
Ba1 Ba 0.000 0.000 0.000
Cd1 Cd 0.000 0.500 0.208
W1 W 0.000 0.000 0.500
```

Output
Offset from the most stable computed form: 0.1970 eV/atom
Mass density: 8.8 Mg/m³
Energy of formation: 3.26 eV/f.u.



A plane-wave DFT calculation with PBE-GGA was carried out for crystalline CaZrO2F at its relaxed geometry.

Cell and atoms, written as CIF:
```
data_CaZrO2F
_symmetry_space_group_name_H-M 'P 4/m m m'
_symmetry_Int_Tables_number 123
_symmetry_space_group_name_Hall '-P 4 2'
_cell_length_a 4.329
_cell_length_b 4.329
_cell_length_c 3.992
_cell_angle_alpha 90.00
_cell_angle_beta 90.00
_cell_angle_gamma 90.00
loop_
_atom_site_label
_atom_site_type_symbol
_atom_site_fract_x
_atom_site_fract_y
_atom_site_fract_z
Ca1 Ca 0.000 0.000 0.000
Zr1 Zr 0.500 0.500 0.500
O1 O 0.000 0.500 0.000
F1 F 0.000 0.000 0.500
```

Output
Formation energy without anion corrections: -1.74 eV/atom
Mass density: 4.0 Mg/m³



A plane-wave DFT calculation with PBE-GGA was carried out for crystalline Co2Se at its relaxed geometry.

Cell and atoms, written as CIF:
```
data_Co2Se
_symmetry_space_group_name_H-M 'I 4/m m m'
_symmetry_Int_Tables_number 139
_symmetry_space_group_name_Hall '-I 4 2'
_cell_length_a 3.012
_cell_length_b 3.012
_cell_length_c 8.557
_cell_angle_alpha 90.00
_cell_angle_beta 90.00
_cell_angle_gamma 90.00
loop_
_atom_site_label
_atom_site_type_symbol
_atom_site_fract_x
_atom_site_fract_y
_atom_site_fract_z
Co1 Co 0.000 0.000 0.163
Se1 Se 0.000 0.000 0.500
```

Output
Offset from the most stable computed form: 0.4301 eV/atom
Formation energy without anion corrections: 0.30 eV/atom
Mass density: 8.4 Mg/m³



A plane-wave DFT calculation with PBE-GGA was carried out for crystalline La5Tb2Nd2 at its relaxed geometry.

Cell and atoms, written as CIF:
```
data_La5Tb2Nd2
_symmetry_space_group_name_H-M 'I 4/m m m'
_symmetry_Int_Tables_number 139
_symmetry_space_group_name_Hall '-I 4 2'
_cell_length_a 4.345
_cell_length_b 4.345
_cell_length_c 33.824
_cell_angle_alpha 90.00
_cell_angle_beta 90.00
_cell_angle_gamma 90.00
loop_
_atom_site_label
_atom_site_type_symbol
_atom_site_fract_x
_atom_site_fract_y
_atom_site_fract_z
La1 La 0.000 0.000 0.000
La2 La 0.000 0.000 0.219
La3 La 0.000 0.000 0.446
Tb1 Tb 0.000 0.000 0.334
Nd1 Nd 0.000 0.000 0.113
```

Output
Offset from the most stable computed form: 0.0000 eV/atom
Mass density: 6.8 Mg/m³
Energy of formation: 0.95 eV/f.u.



Question: Among the records above, which one has the lowest mass density?
Answer: CaZrO2F